Record 1
! Cd2HIr2 | Alexandria | GGA-PBE | relaxed; values from VASP
&SYSTEM
  ibrav = 0, nat = 10, ntyp = 3
/
ATOMIC_SPECIES
Cd 112.41 Cd.upf
Ir 192.22 Ir.upf
H 1.01 H.upf
CELL_PARAMETERS angstrom
-0.425 3.107 -4.551
-5.397 0.684 0.971
0.970 3.952 2.607
ATOMIC_POSITIONS angstrom
Cd -3.211 2.967 1.176
Ir -1.842 0.760 -0.466
Cd -1.641 4.775 -2.148
H 0.000 0.000 0.000
H -2.911 1.895 -1.790
Ir -3.981 3.031 -3.113
Cd -4.273 4.628 -0.947
Ir -4.606 1.584 -0.687
Cd -0.580 3.114 -0.026
Ir -1.216 2.207 -2.892
! **VASP energy**: -0.1603 hartree per atom
! **Symmetry**: P4/mbm, No. 127
! **Mass density**: 13732 kg/m³
! **Magnetic moment**: 0.0 μB/cell

Record 2
! SnH3F9 | Alexandria | GGA-PBE | relaxed; values from VASP
&SYSTEM
  ibrav = 0, nat = 26, ntyp = 3
/
ATOMIC_SPECIES
F 19.00 F.upf
H 1.01 H.upf
Sn 118.71 Sn.upf
CELL_PARAMETERS angstrom
-2.787 6.677 -2.357
-7.507 0.139 -3.016
-5.592 3.424 4.029
ATOMIC_POSITIONS angstrom
F -8.344 9.058 0.900
F -8.051 3.553 1.665
H -11.059 7.553 0.153
F -10.713 3.772 1.521
F -10.411 4.253 -0.723
F -8.041 7.665 1.001
F -7.019 1.948 -0.692
H -7.233 4.525 1.059
H -10.528 4.036 0.323
F -10.755 6.894 -0.658
F -4.785 3.478 0.490
H -4.207 2.803 -0.377
H -5.084 7.147 -0.839
F -10.516 5.524 -3.133
F -7.856 7.064 -1.855
F -12.507 7.184 -2.635
F -6.663 5.208 0.597
F -5.101 7.258 -1.921
F -7.716 2.949 -1.436
F -12.911 5.264 -0.084
F -8.195 4.942 -3.411
Sn -11.914 5.447 -1.716
Sn -6.638 6.719 -3.300
F -5.748 4.901 -2.964
F -3.745 2.192 -1.131
H -9.156 5.195 -3.280
! **VASP energy**: -0.1473 hartree per atom
! **Symmetry**: Cc, No. 9
! **Mass density**: 2835 kg/m³
! **Magnetic moment**: 0.3 μB/cell

- What is the magnetic moment in the first record?
  0.0 μB/cell

- What is the VASP energy in the first record?
  -0.1603 hartree per atom